Entry 1:
KRbAs3 (SCAN, single point on PBEsol structure); electronic total energy = -84.9 eV per cell; calculated density = 3.39 g/cm3
1.0
5.5531 0.0000 0.0000
0.0000 5.5531 0.0000
0.0000 0.0000 5.5531
As K Rb
3 1 1
Cartesian
0.0000 2.7765 0.0000 As
0.0000 0.0000 2.7765 As
2.7765 0.0000 0.0000 As
0.0000 0.0000 0.0000 K
2.7765 2.7765 2.7765 Rb

---

Entry 2:
K2ReAs (SCAN, single point on PBEsol structure); electronic total energy = -104.3 eV per cell; calculated density = 6.78 g/cm3
1.0
-1.0435 0.3618 -2.5899
-4.9422 -0.6813 1.8961
-0.3968 5.4382 0.9197
As K Re
1 2 1
Cartesian
-0.7202 2.9000 -0.8351 As
-3.7099 -0.5114 1.4233 K
-1.2322 -0.1699 0.4728 K
-3.1913 2.5594 0.1129 Re

---

Entry 3:
K2Re2As (SCAN, single point on PBEsol structure); electronic total energy = -175.9 eV per cell; calculated density = 6.62 g/cm3
1.0
3.4417 0.0000 0.0000
0.0000 3.4417 0.0000
-1.7208 -1.7208 11.1240
Re As K
2 1 2
Cartesian
0.0000 1.7208 5.5620 Re
1.7208 0.0000 5.5620 Re
0.0000 0.0000 0.0000 As
0.0000 0.0000 8.7816 K
1.7208 1.7208 2.3424 K

---

Entry 4:
K3ReAs (SCAN, single point on PBEsol structure); electronic total energy = -110.1 eV per cell; calculated density = 2.61 g/cm3
1.0
-1.7011 -5.4302 -2.5209
5.8351 -2.0901 0.5646
-1.3392 -2.2092 5.6624
Re As K
1 1 3
Cartesian
1.3974 -4.8647 1.8530 Re
0.0000 0.0000 0.0000 As
2.9176 -1.0451 0.2823 K
-0.6696 -1.1046 2.8312 K
-0.8506 -2.7151 -1.2605 K

---

Entry 5:
KAs2Rh (SCAN, single point on PBEsol structure); energy above the lowest structure with this stoichiometry = 258 meV/atom; calculated density = 5.75 g/cm3
1.0
-2.4094 1.1677 -2.0340
-1.3259 -3.0835 -0.1996
-4.2876 1.4606 5.9173
As K Rh
2 1 1
Cartesian
-4.1154 1.4020 5.6797 As
-2.6696 -0.6847 -0.0100 As
-2.1371 0.7280 2.9494 K
-5.5321 0.2905 3.9405 Rh

---

Entry 6:
KAsRh (SCAN, single point on PBEsol structure); electronic total energy = -60.8 eV per cell; calculated density = 5.42 g/cm3
1.0
-1.3866 2.3683 3.6251
-3.9451 2.2564 -0.1318
-3.5381 -1.4619 2.4531
As K Rh
1 1 1
Cartesian
-2.2174 0.7907 1.4866 As
0.0000 0.0000 0.0000 K
-4.4349 1.5814 2.9732 Rh

---

Q: The lowest calculated density belongs to which entry?
A: K3ReAs